1.
# SrFeCu3 (PBE-GGA, optimized geometry)
data_SrFeCu3
_chemical_formula_sum 'Sr1 Fe1 Cu3'
_cell_length_a 5.097
_cell_length_b 5.097
_cell_length_c 5.097
_cell_angle_alpha 90.00
_cell_angle_beta 90.00
_cell_angle_gamma 90.00
_space_group_name_H-M_alt 'P 1'
_space_group_IT_number 1
loop_
_space_group_symop_operation_xyz
'x,y,z'
loop_
_atom_site_label
_atom_site_fract_x
_atom_site_fract_y
_atom_site_fract_z
Sr1 0.000 0.000 0.000
Fe1 0.500 0.500 0.500
Cu1 0.000 0.500 0.000
Cu2 0.000 0.000 0.500
Cu3 0.500 0.000 0.000
# SG = No. 221
# Energy relative to the elements = 208 kJ/mol of atoms



2.
# SrFe2Cu (PBE-GGA, optimized geometry)
data_SrFe2Cu
_chemical_formula_sum 'Sr1 Fe2 Cu1'
_cell_length_a 4.150
_cell_length_b 4.150
_cell_length_c 5.914
_cell_angle_alpha 69.40
_cell_angle_beta 69.40
_cell_angle_gamma 60.01
_space_group_name_H-M_alt 'P 1'
_space_group_IT_number 1
loop_
_space_group_symop_operation_xyz
'x,y,z'
loop_
_atom_site_label
_atom_site_fract_x
_atom_site_fract_y
_atom_site_fract_z
Cu1 0.250 0.250 0.250
Fe1 0.942 0.942 0.174
Fe2 0.558 0.558 0.326
Sr1 0.750 0.750 0.750
# SG = No. 12
# Energy relative to the elements = 34 kJ/mol of atoms



3.
# SrFe2Cu (PBE-GGA, optimized geometry)
data_SrFe2Cu
_chemical_formula_sum 'Sr1 Fe2 Cu1'
_cell_length_a 3.195
_cell_length_b 3.197
_cell_length_c 7.010
_cell_angle_alpha 90.00
_cell_angle_beta 90.00
_cell_angle_gamma 90.00
_space_group_name_H-M_alt 'P 1'
_space_group_IT_number 1
loop_
_space_group_symop_operation_xyz
'x,y,z'
loop_
_atom_site_label
_atom_site_fract_x
_atom_site_fract_y
_atom_site_fract_z
Cu1 0.500 0.500 0.818
Fe1 0.000 0.000 0.017
Fe2 0.500 0.500 0.166
Sr1 0.000 0.000 0.499
# SG = No. 99
# Energy relative to the elements = 41 kJ/mol of atoms



4.
# SrFeCu (PBE-GGA, optimized geometry)
data_SrFeCu
_chemical_formula_sum 'Sr1 Fe1 Cu1'
_cell_length_a 4.152
_cell_length_b 4.152
_cell_length_c 4.573
_cell_angle_alpha 90.00
_cell_angle_beta 90.00
_cell_angle_gamma 120.00
_space_group_name_H-M_alt 'P 1'
_space_group_IT_number 1
loop_
_space_group_symop_operation_xyz
'x,y,z'
loop_
_atom_site_label
_atom_site_fract_x
_atom_site_fract_y
_atom_site_fract_z
Cu1 0.000 0.000 0.166
Fe1 0.667 0.333 0.167
Sr1 0.333 0.667 0.667
# SG = No. 187
# Energy relative to the elements = 34 kJ/mol of atoms